{
  "formula": "Sm2Ga12Ni",
  "functional": "PBE",
  "state": "optimized geometry",
  "cell": [[6.071, 0.000, 0.000], [0.000, 6.071, 0.000], [0.000, 0.000, 15.368]],
  "species": ["Sm", "Sm", "Sm", "Sm", "Ga", "Ga", "Ga", "Ga", "Ga", "Ga", "Ga", "Ga", "Ga", "Ga", "Ga", "Ga", "Ga", "Ga", "Ga", "Ga", "Ga", "Ga", "Ga", "Ga", "Ga", "Ga", "Ga", "Ga", "Ni", "Ni"],
  "fractional_positions": [[0.250, 0.750, 0.242], [0.250, 0.750, 0.758], [0.750, 0.250, 0.242], [0.750, 0.250, 0.758], [0.000, 0.000, 0.084], [0.000, 0.000, 0.916], [0.000, 0.500, 0.084], [0.000, 0.500, 0.916], [0.082, 0.582, 0.430], [0.082, 0.918, 0.570], [0.250, 0.250, 0.184], [0.250, 0.250, 0.344], [0.250, 0.250, 0.656], [0.250, 0.250, 0.816], [0.418, 0.582, 0.570], [0.418, 0.918, 0.430], [0.500, 0.000, 0.084], [0.500, 0.000, 0.916], [0.500, 0.500, 0.084], [0.500, 0.500, 0.916], [0.582, 0.082, 0.570], [0.582, 0.418, 0.430], [0.750, 0.750, 0.184], [0.750, 0.750, 0.344], [0.750, 0.750, 0.656], [0.750, 0.750, 0.816], [0.918, 0.082, 0.430], [0.918, 0.418, 0.570], [0.250, 0.750, 0.000], [0.750, 0.250, 0.000]],
  "crystal_system": "tetragonal",
  "total_magnetization_mub_per_fu": 0.0,
  "final_energy_ev_per_atom": -3.825,
  "spacegroup": "P4/nbm, No. 125"
}